[1]
Below is a relaxed structure of Na2TlInPt, with properties calculated at the PBE level.

Output
As for the space group: P4/mmm. As for the total energy: -2.8269 eV per atom.

Cell lengths 5.4551, 5.4551, 5.1564 Å; angles 90.00, 90.00, 90.00 degrees
Last column: nearest neighbours and their distance in Å.
Element x y z (fractional)
Na (0.0000, 0.5000, 0.0000)  2 Pt 2.73
Na (0.5000, 0.0000, 0.0000)  2 Pt 2.73
Tl (0.5000, 0.5000, 0.5000)  8 Na 3.75, 4 In 3.86
Pt (0.0000, 0.0000, 0.0000)  2 In 2.58, 4 Na 2.73
In (0.0000, 0.0000, 0.5000)  2 Pt 2.58

=====

[2]
Below is a relaxed structure of NaTl2InPt, with properties calculated at the PBE level.

Output
As for the space group: P4/mmm. As for the total energy: -3.0258 eV per atom.

Cell lengths 5.4216, 5.4216, 5.2624 Å; angles 90.00, 90.00, 90.00 degrees
Last column: nearest neighbours and their distance in Å.
Element x y z (fractional)
Na (0.5000, 0.5000, 0.5000)  8 Tl 3.78, 4 In 3.83
Tl (0.0000, 0.5000, 0.0000)  2 Pt 2.71
Tl (0.5000, 0.0000, 0.0000)  2 Pt 2.71
Pt (0.0000, 0.0000, 0.0000)  2 In 2.63, 4 Tl 2.71
In (0.0000, 0.0000, 0.5000)  2 Pt 2.63

=====

[3]
Below is a relaxed structure of NaTmInPt, with properties calculated at the PBE level.

Output
As for the space group: F-43m. As for the total energy: -4.1950 eV per atom.

Cell lengths 4.8773, 4.8773, 4.8773 Å; angles 60.00, 60.00, 60.00 degrees
Last column: nearest neighbours and their distance in Å.
Element x y z (fractional)
Na (0.5000, 0.5000, 0.5000)  4 In 2.99, 4 Tm 2.99
Tm (0.7500, 0.7500, 0.7500)  4 Na 2.99, 4 Pt 2.99
Pt (0.0000, 0.0000, 0.0000)  4 Tm 2.99, 4 In 2.99
In (0.2500, 0.2500, 0.2500)  4 Pt 2.99, 4 Na 2.99

=====

[4]
Below is a relaxed structure of NaVInPt2, with properties calculated at the PBE level.

Output
As for the space group: P4/mmm. As for the total energy: -4.1929 eV per atom.

Cell lengths 5.0475, 5.1255, 5.0475 Å; angles 90.00, 90.00, 90.00 degrees
Last column: nearest neighbours and their distance in Å.
Element x y z (fractional)
Na (0.5000, 0.5000, 0.5000)  4 V 3.57, 8 Pt 3.60
V (0.0000, 0.5000, 0.0000)  2 In 2.56
Pt (0.0000, 0.0000, 0.5000)  2 In 2.52
Pt (0.5000, 0.0000, 0.0000)  2 In 2.52
In (0.0000, 0.0000, 0.0000)  4 Pt 2.52, 2 V 2.56

=====

[5]
Below is a relaxed structure of NaYInPt, with properties calculated at the PBE level.

Output
As for the space group: F-43m. As for the total energy: -4.6951 eV per atom.

Cell lengths 4.9192, 4.9192, 4.9192 Å; angles 60.00, 60.00, 60.00 degrees
Last column: nearest neighbours and their distance in Å.
Element x y z (fractional)
Y (0.5000, 0.5000, 0.5000)  4 Na 3.01, 4 Pt 3.01
Na (0.2500, 0.2500, 0.2500)  4 In 3.01, 4 Y 3.01
Pt (0.7500, 0.7500, 0.7500)  4 In 3.01, 4 Y 3.01
In (0.0000, 0.0000, 0.0000)  4 Pt 3.01, 4 Na 3.01

=====

[6]
Below is a relaxed structure of Na4PuIn15, with properties calculated at the PBE level.

Output
As for the space group: P4/mmm. As for the total energy: -3.1312 eV per atom.

Cell lengths 4.6526, 4.6526, 23.9099 Å; angles 90.00, 90.00, 90.00 degrees
Last column: nearest neighbours and their distance in Å.
Element x y z (fractional)
Na (0.0000, 0.0000, 0.1976)  12 In 3.29-3.35
Na (0.0000, 0.0000, 0.3991)  12 In 3.29-3.35
Na (0.0000, 0.0000, 0.6009)  12 In 3.29-3.35
Na (0.0000, 0.0000, 0.8024)  12 In 3.29-3.35
Pu (0.0000, 0.0000, 0.0000)  12 In 3.29-3.32
In (0.5000, 0.5000, 0.0000)  4 Pu 3.29, 8 In 3.32
In (0.5000, 0.5000, 0.1973)  4 Na 3.29, 8 In 3.31-3.36
In (0.5000, 0.5000, 0.4012)  4 Na 3.29, 8 In 3.32-3.38
In (0.5000, 0.5000, 0.5988)  4 Na 3.29, 8 In 3.32-3.38
In (0.5000, 0.5000, 0.8027)  4 Na 3.29, 8 In 3.31-3.36
In (0.5000, 0.0000, 0.0989)  8 In 3.29-3.32, 2 Na 3.31, 2 Pu 3.32
In (0.5000, 0.0000, 0.2984)  8 In 3.29-3.38, 4 Na 3.35
In (0.5000, 0.0000, 0.5000)  8 In 3.29-3.32, 4 Na 3.35
In (0.5000, 0.0000, 0.7016)  8 In 3.29-3.38, 4 Na 3.35
In (0.5000, 0.0000, 0.9011)  8 In 3.29-3.32, 2 Na 3.31, 2 Pu 3.32
In (0.0000, 0.5000, 0.0989)  8 In 3.29-3.32, 2 Na 3.31, 2 Pu 3.32
In (0.0000, 0.5000, 0.2984)  8 In 3.29-3.38, 4 Na 3.35
In (0.0000, 0.5000, 0.5000)  8 In 3.29-3.32, 4 Na 3.35
In (0.0000, 0.5000, 0.7016)  8 In 3.29-3.38, 4 Na 3.35
In (0.0000, 0.5000, 0.9011)  8 In 3.29-3.32, 2 Na 3.31, 2 Pu 3.32

=====

[7]
Below is a relaxed structure of NaPuIn4, with properties calculated at the PBE level.

Output
As for the space group: Pmmm. As for the total energy: -4.5882 eV per atom. As for the distance to the lowest polymorph of the same formula: 0 meV per atom.

Cell lengths 3.3212, 5.1467, 9.0363 Å; angles 90.00, 89.99, 90.00 degrees
Last column: nearest neighbours and their distance in Å.
Element x y z (fractional)
Na (0.5000, 0.0000, 0.0000)  2 Na 3.32, 12 In 3.40-3.44
Pu (0.5000, 0.5000, 0.5000)  2 Pu 3.32, 12 In 3.41-3.46
In (0.9998, 0.0000, 0.6669)  5 In 2.99-3.32
In (0.9998, 0.5000, 0.8361)  3 In 2.96-2.99
In (0.0002, 0.0000, 0.3331)  5 In 2.99-3.32
In (0.0002, 0.5000, 0.1639)  3 In 2.96-2.99

=====

[8]
Below is a relaxed structure of NaPuIn2, with properties calculated at the PBE level.

Output
As for the space group: P4/mmm. As for the total energy: -5.3796 eV per atom.

Cell lengths 3.3140, 5.6797, 5.6797 Å; angles 90.00, 90.00, 90.00 degrees
Last column: nearest neighbours and their distance in Å.
Element x y z (fractional)
Na (0.5000, 0.0000, 0.0000)  8 In 3.29, 2 Na 3.31
In (0.0000, 0.0000, 0.5000)  4 Na 3.29, 4 Pu 3.29, 2 In 3.31
In (0.0000, 0.5000, 0.0000)  4 Na 3.29, 4 Pu 3.29, 2 In 3.31
Pu (0.5000, 0.5000, 0.5000)  8 In 3.29, 2 Pu 3.31

=====

[9]
Below is a relaxed structure of Na2PuIn9, with properties calculated at the PBE level.

Output
As for the space group: P4/mmm. As for the total energy: -3.5759 eV per atom.

Cell lengths 4.6644, 4.6644, 14.2193 Å; angles 90.00, 90.00, 90.00 degrees
Last column: nearest neighbours and their distance in Å.
Element x y z (fractional)
Na (0.0000, 0.0000, 0.3310)  12 In 3.30-3.35
Na (0.0000, 0.0000, 0.6690)  12 In 3.30-3.35
Pu (0.0000, 0.0000, 0.0000)  12 In 3.30-3.31
In (0.5000, 0.5000, 0.0000)  4 Pu 3.30, 8 In 3.31
In (0.5000, 0.5000, 0.3288)  8 In 3.29-3.37, 4 Na 3.30
In (0.5000, 0.5000, 0.6712)  8 In 3.29-3.37, 4 Na 3.30
In (0.5000, 0.0000, 0.1656)  8 In 3.29-3.31, 2 Na 3.31, 2 Pu 3.31
In (0.5000, 0.0000, 0.5000)  8 In 3.30-3.37, 4 Na 3.35
In (0.5000, 0.0000, 0.8344)  8 In 3.29-3.31, 2 Na 3.31, 2 Pu 3.31
In (0.0000, 0.5000, 0.1656)  8 In 3.29-3.31, 2 Na 3.31, 2 Pu 3.31
In (0.0000, 0.5000, 0.5000)  8 In 3.30-3.37, 4 Na 3.35
In (0.0000, 0.5000, 0.8344)  8 In 3.29-3.31, 2 Na 3.31, 2 Pu 3.31

=====

[10]
Below is a relaxed structure of NaPu2In9, with properties calculated at the PBE level.

Output
As for the space group: P4/mmm. As for the total energy: -4.7133 eV per atom.

Cell lengths 4.6612, 4.6612, 14.0327 Å; angles 90.00, 90.00, 90.00 degrees
Last column: nearest neighbours and their distance in Å.
Element x y z (fractional)
Na (0.0000, 0.0000, 0.0000)  12 In 3.30
Pu (0.0000, 0.0000, 0.3326)  12 In 3.30-3.31
Pu (0.0000, 0.0000, 0.6674)  12 In 3.30-3.31
In (0.5000, 0.5000, 0.0000)  4 Na 3.30, 8 In 3.30
In (0.5000, 0.5000, 0.3374)  8 In 3.26-3.34, 4 Pu 3.30
In (0.5000, 0.5000, 0.6626)  8 In 3.26-3.34, 4 Pu 3.30
In (0.5000, 0.0000, 0.1665)  2 Pu 3.30, 8 In 3.30-3.34, 2 Na 3.30
In (0.5000, 0.0000, 0.5000)  8 In 3.26-3.30, 4 Pu 3.31
In (0.5000, 0.0000, 0.8335)  2 Pu 3.30, 8 In 3.30-3.34, 2 Na 3.30
In (0.0000, 0.5000, 0.1665)  2 Pu 3.30, 8 In 3.30-3.34, 2 Na 3.30
In (0.0000, 0.5000, 0.5000)  8 In 3.26-3.30, 4 Pu 3.31
In (0.0000, 0.5000, 0.8335)  2 Pu 3.30, 8 In 3.30-3.34, 2 Na 3.30

=====

[11]
Below is a relaxed structure of NaPuIn2, with properties calculated at the PBE level.

Output
As for the space group: P4/mmm. As for the total energy: -5.3996 eV per atom.

Cell lengths 3.3365, 3.3365, 9.3727 Å; angles 90.00, 90.00, 90.00 degrees
Last column: nearest neighbours and their distance in Å.
Element x y z (fractional)
Na (0.5000, 0.5000, 0.5000)  8 In 3.33, 4 Na 3.34
In (0.0000, 0.0000, 0.7506)  4 Pu 3.32, 4 Na 3.33, 4 In 3.34
In (0.0000, 0.0000, 0.2494)  4 Pu 3.32, 4 Na 3.33, 4 In 3.34
Pu (0.5000, 0.5000, 0.0000)  8 In 3.32, 4 Pu 3.34

=====

[12]
Below is a relaxed structure of NaPuIn4, with properties calculated at the PBE level.

Output
As for the space group: F-43m. As for the total energy: -4.4904 eV per atom. As for the distance to the lowest polymorph of the same formula: 98 meV per atom.

Cell lengths 6.1254, 6.1254, 6.1254 Å; angles 60.00, 60.00, 60.00 degrees
Last column: nearest neighbours and their distance in Å.
Element x y z (fractional)
Na (0.2500, 0.2500, 0.2500)  12 In 3.59, 4 Pu 3.75
In (0.6252, 0.6252, 0.1243)  6 In 3.06-3.07
In (0.6252, 0.1243, 0.6252)  6 In 3.06-3.07
In (0.6252, 0.6252, 0.6252)  6 In 3.06-3.07
In (0.1243, 0.6252, 0.6252)  6 In 3.06-3.07
Pu (0.0000, 0.0000, 0.0000)  12 In 3.59, 4 Na 3.75